A relaxed structure of Ti2Zn2Au, computed with PBEsol.

```
Ti2Zn2Au
1.0
-1.552 -2.617 2.061
3.227 -0.619 1.645
-2.181 5.703 2.322
Zn Au Ti
2 1 2
Direct
0.405 0.405 0.811 Zn
0.595 0.595 0.189 Zn
0.000 0.000 0.000 Au
0.250 0.750 0.500 Ti
0.750 0.250 0.500 Ti
```

Values from the calculation:
* energy above the lowest structure with this stoichiometry: 392 meV per atom
* space group: I4/mmm, No. 139



A relaxed structure of ZrTiAu3, computed with PBEsol.

```
ZrTiAu3
1.0
-3.240 3.399 -0.822
-3.487 -3.060 1.095
0.253 1.345 4.566
Au Ti Zr
3 1 1
Direct
0.000 0.500 0.000 Au
0.000 0.000 0.500 Au
0.500 0.000 0.000 Au
0.000 0.000 0.000 Ti
0.500 0.500 0.500 Zr
```

Values from the calculation:
* space group: Pm-3m, No. 221



A relaxed structure of TlAu5, computed with PBEsol.

```
TlAu5
1.0
-1.712 -0.781 3.727
3.708 -1.120 1.468
2.946 5.333 2.470
Tl Au
1 5
Direct
0.000 0.500 0.000 Tl
0.500 0.328 0.344 Au
0.000 0.832 0.336 Au
0.000 0.168 0.664 Au
0.500 0.000 0.000 Au
0.500 0.672 0.656 Au
```

Values from the calculation:
* energy above the lowest structure with this stoichiometry: 12 meV per atom
* space group: Cmmm, No. 65



A relaxed structure of Tl2Au, computed with PBEsol.

```
Tl2Au
1.0
5.239 0.000 0.000
-2.619 4.537 0.000
0.000 0.000 6.067
Tl Au
4 2
Direct
0.667 0.333 0.250 Tl
0.000 0.000 0.500 Tl
0.000 0.000 0.000 Tl
0.333 0.667 0.750 Tl
0.667 0.333 0.750 Au
0.333 0.667 0.250 Au
```

Values from the calculation:
* space group: P6_3/mmc, No. 194



A relaxed structure of Tl5Au, computed with PBEsol.

```
Tl5Au
1.0
-3.117 -3.726 0.183
3.562 -3.169 -3.867
0.889 -0.446 6.057
Tl Au
5 1
Direct
0.000 0.305 0.305 Tl
0.000 0.695 0.000 Tl
0.000 0.000 0.695 Tl
0.500 0.333 0.667 Tl
0.500 0.667 0.333 Tl
0.500 0.000 0.000 Au
```

Values from the calculation:
* energy above the lowest structure with this stoichiometry: 44 meV per atom
* space group: P-62m, No. 189



A relaxed structure of Tl3Au, computed with PBEsol.

```
Tl3Au
1.0
-0.906 2.214 -2.964
-1.219 -3.642 -2.348
-5.176 -0.559 3.553
Tl Au
3 1
Direct
0.585 0.500 0.771 Tl
0.415 0.500 0.229 Tl
0.000 0.000 0.500 Tl
0.000 0.000 0.000 Au
```

Values from the calculation:
* energy above the lowest structure with this stoichiometry: 58 meV per atom
* space group: P2/m, No. 10



A relaxed structure of Tl17Au12, computed with PBEsol.

```
Tl17Au12
1.0
9.491 0.000 0.000
-3.164 8.948 0.000
-3.164 -4.474 7.749
Tl Au
17 12
Direct
0.000 0.329 0.000 Tl
0.587 0.000 0.308 Tl
0.308 0.587 0.000 Tl
0.692 0.279 0.692 Tl
0.308 0.000 0.587 Tl
0.671 0.671 0.671 Tl
0.000 0.000 0.329 Tl
0.279 0.692 0.692 Tl
0.692 0.692 0.279 Tl
0.413 0.721 0.413 Tl
0.413 0.413 0.721 Tl
0.000 0.587 0.308 Tl
0.000 0.000 0.000 Tl
0.329 0.000 0.000 Tl
0.000 0.308 0.587 Tl
0.587 0.308 0.000 Tl
0.721 0.413 0.413 Tl
0.626 0.815 0.000 Au
0.815 0.626 0.000 Au
0.000 0.815 0.626 Au
0.815 0.000 0.626 Au
0.185 0.812 0.185 Au
0.374 0.188 0.374 Au
0.374 0.374 0.188 Au
0.000 0.626 0.815 Au
0.185 0.185 0.812 Au
0.812 0.185 0.185 Au
0.626 0.000 0.815 Au
0.188 0.374 0.374 Au
```

Values from the calculation:
* space group: I-43m, No. 217



A relaxed structure of TlAu4, computed with PBEsol.

```
TlAu4
1.0
-3.482 0.516 -0.454
-2.530 -4.848 0.021
-2.358 0.603 4.897
Au Tl
4 1
Direct
0.160 0.477 0.204 Au
0.364 0.796 0.477 Au
0.840 0.523 0.796 Au
0.636 0.204 0.523 Au
0.000 0.000 0.000 Tl
```

Values from the calculation:
* energy above the lowest structure with this stoichiometry: 0 meV per atom
* space group: I4/m, No. 87



A relaxed structure of Tl2Au, computed with PBEsol.

```
Tl2Au
1.0
-1.148 -2.242 -2.247
5.394 -1.263 1.038
-3.718 -4.186 6.077
Tl Au
4 2
Direct
0.111 0.221 0.556 Tl
0.696 0.391 0.937 Tl
0.358 0.716 0.302 Tl
0.401 0.801 0.736 Tl
0.974 0.948 0.036 Au
0.628 0.255 0.266 Au
```

Values from the calculation:
* space group: Cm, No. 8



A relaxed structure of Tl5Au, computed with PBEsol.

```
Tl5Au
1.0
-1.810 -0.559 -2.993
-3.480 -2.291 4.629
-1.277 7.868 -0.698
Tl Au
5 1
Direct
0.305 0.610 0.642 Tl
0.328 0.657 0.090 Tl
0.616 0.231 0.798 Tl
0.640 0.280 0.248 Tl
0.972 0.944 0.444 Tl
0.973 0.946 0.945 Au
```

Values from the calculation:
* energy above the lowest structure with this stoichiometry: 0 meV per atom
* space group: Cm, No. 8



A relaxed structure of Tl3Au, computed with PBEsol.

```
Tl3Au
1.0
-5.319 1.157 -0.671
-0.708 -4.771 -2.611
-1.135 -2.445 4.776
Tl Au
3 1
Direct
0.000 0.000 0.500 Tl
0.500 0.000 0.000 Tl
0.000 0.500 0.000 Tl
0.000 0.000 0.000 Au
```

Values from the calculation:
* energy above the lowest structure with this stoichiometry: 374 meV per atom
* space group: Pm-3m, No. 221



A relaxed structure of TlAu5, computed with PBEsol.

```
TlAu5
1.0
-0.452 4.557 -1.350
-4.853 -0.006 1.607
3.753 1.323 3.208
Au Tl
5 1
Direct
0.000 0.652 0.000 Au
0.500 0.333 0.667 Au
0.000 0.000 0.652 Au
0.000 0.348 0.348 Au
0.500 0.667 0.333 Au
0.500 0.000 0.000 Tl
```

Values from the calculation:
* energy above the lowest structure with this stoichiometry: 0 meV per atom
* space group: P-62m, No. 189



A relaxed structure of Tl2Au, computed with PBEsol.

```
Tl2Au
1.0
4.566 0.000 0.000
0.000 7.149 0.000
0.000 0.000 9.002
Au Tl
4 8
Direct
0.250 0.731 0.610 Au
0.750 0.769 0.110 Au
0.750 0.269 0.390 Au
0.250 0.231 0.890 Au
0.250 0.150 0.571 Tl
0.750 0.471 0.683 Tl
0.250 0.529 0.317 Tl
0.750 0.971 0.817 Tl
0.750 0.350 0.071 Tl
0.250 0.650 0.929 Tl
0.750 0.850 0.429 Tl
0.250 0.029 0.183 Tl
```

Values from the calculation:
* space group: Pnma, No. 62



A relaxed structure of Tl5Au, computed with PBEsol.

```
Tl5Au
1.0
3.510 0.000 0.000
0.000 5.325 0.000
0.000 2.662 8.471
Tl Au
5 1
Direct
0.500 0.363 0.274 Tl
0.500 0.000 0.000 Tl
0.000 0.814 0.371 Tl
0.000 0.186 0.629 Tl
0.500 0.637 0.726 Tl
0.000 0.500 0.000 Au
```

Values from the calculation:
* energy above the lowest structure with this stoichiometry: 2 meV per atom
* space group: Cmmm, No. 65



A relaxed structure of TlAu8, computed with PBEsol.

```
TlAu8
1.0
-2.537 2.579 -2.099
-5.825 -2.831 -0.604
-3.062 3.846 4.259
Au Tl
8 1
Direct
0.336 0.664 0.664 Au
0.330 0.340 0.000 Au
0.000 0.664 0.336 Au
0.664 0.336 0.336 Au
0.670 0.000 0.660 Au
0.000 0.336 0.664 Au
0.330 0.000 0.340 Au
0.670 0.660 0.000 Au
0.000 0.000 0.000 Tl
```

Values from the calculation:
* space group: I4/mmm, No. 139



A relaxed structure of Tl3Au, computed with PBEsol.

```
Tl3Au
1.0
3.533 0.000 0.000
0.000 5.411 0.000
-1.767 -2.705 5.336
Au Tl
1 3
Direct
0.000 0.000 0.000 Au
0.282 0.782 0.564 Tl
0.500 0.500 0.000 Tl
0.718 0.218 0.436 Tl
```

Values from the calculation:
* energy above the lowest structure with this stoichiometry: 33 meV per atom
* space group: Immm, No. 71



A relaxed structure of Tl3Au, computed with PBEsol.

```
Tl3Au
1.0
-2.048 2.729 1.228
-1.627 -0.265 3.229
6.168 4.555 5.518
Au Tl
1 3
Direct
0.000 0.000 0.000 Au
0.500 0.500 0.500 Tl
0.262 0.262 0.215 Tl
0.738 0.738 0.785 Tl
```

Values from the calculation:
* energy above the lowest structure with this stoichiometry: 33 meV per atom
* space group: R-3m, No. 166



A relaxed structure of Tl2Au, computed with PBEsol.

```
Tl2Au
1.0
-0.138 -1.728 3.880
3.623 1.683 -1.449
-1.317 4.530 1.970
Tl Au
2 1
Direct
0.333 0.667 0.293 Tl
0.667 0.333 0.707 Tl
0.000 0.000 0.000 Au
```

Values from the calculation:
* space group: P-3m1, No. 164



A relaxed structure of Tl2Au, computed with PBEsol.

```
Tl2Au
1.0
-1.365 -4.318 -3.276
2.896 -4.991 0.604
-4.074 -3.709 1.818
Au Tl
2 4
Direct
0.250 0.000 0.000 Au
0.750 0.000 0.000 Au
0.846 0.500 0.808 Tl
0.654 0.192 0.500 Tl
0.154 0.500 0.192 Tl
0.346 0.808 0.500 Tl
```

Values from the calculation:
* space group: I4/mcm, No. 140



A relaxed structure of Tl2Au, computed with PBEsol.

```
Tl2Au
1.0
-2.944 -1.574 0.678
1.576 -1.958 2.300
-0.556 6.008 2.972
Tl Au
2 1
Direct
0.647 0.647 0.295 Tl
0.353 0.353 0.705 Tl
0.000 0.000 0.000 Au
```

Values from the calculation:
* space group: I4/mmm, No. 139



The calculation returns the following electronic total energy values, one per record and in order: -4.604 -5.292 -3.644 -3.003 -2.781 -2.894 -3.121 -3.614 -3.033 -2.824 -2.578 -3.655 -3.059 -2.823 -3.733 -2.919 -2.919 -3.020 -3.081 -3.056 eV/atom.
The calculation returns the following DOS at the Fermi energy values, one per record and in order: 3.6 5.9 1.8 1.2 3.0 1.7 11.2 1.5 1.2 3.0 3.0 1.9 1.2 2.7 3.2 1.6 1.5 1.1 1.1 1.0 states/eV/f.u..